[1]
DFT (GGA-PBE) results for an optimized crystal structure of Cs2Cd2Pd.

The structure in extended XYZ format:
```
5
Lattice="-2.089 2.089 11.594 2.089 -2.089 11.594 2.089 2.089 -11.594" Properties=species:S:1:pos:R:3 pbc="T T T"
Cs 0.000 0.000 2.068
Cs 0.000 0.000 21.120
Cd 2.089 0.000 5.797
Cd 0.000 2.089 5.797
Pd 0.000 0.000 11.594
```

Calculated values
Space-group type: I4/mmm (139)
DFT total energy: -1.597 eV per atom

---

[2]
DFT (GGA-PBE) results for an optimized crystal structure of CsCdPd.

The structure in extended XYZ format:
```
3
Lattice="4.707 0.000 0.000 -2.353 4.076 0.000 0.000 0.000 5.590" Properties=species:S:1:pos:R:3 pbc="T T T"
Cs 0.000 0.000 0.000
Cd 0.000 2.717 2.795
Pd 2.353 1.359 2.795
```

Calculated values
Space-group type: P-6m2 (187)
DFT total energy: -2.395 eV per atom